This record from the Alexandria database describes Sc2AsP at its PBEsol-relaxed geometry. The functional is SCAN.

Properties
ΔE_f = -1.33 eV per atom
E_tot = -16.09 eV/atom
M_tot = 0.0 Bohr magnetons per cell
V = 18.4 A^3/atom

Cell and atoms, written as POSCAR:
```
Sc2AsP
1.0
-0.088 0.422 3.572
-1.633 -3.570 0.382
4.757 -2.327 -1.420
As P Sc
1 1 2
Direct
0.490 0.500 0.980
0.255 0.000 0.510
0.004 0.000 0.009
0.751 0.500 0.502
```